(1)
TaGa2BiCl: relaxed, PBE.

Calculated values
Excess energy over the best structure of this formula in the dataset = 755 meV per atom
Magnetization = 0.325 μB/atom
Energy relative to the elements, uncorrected = 1.094 eV/atom
Density of states at the Fermi level = 1.22 states/eV/atom

a b c (Å): 4.8896 4.8896 5.3218
angles (deg): 90.00 90.00 90.00
Last column: nearest neighbours and their distance in Å.
Sites, in units of the cell vectors:
1 Ta 0.0000 0.0000 0.0000  4 Bi 3.46, 8 Ga 3.61
2 Ga 0.0000 0.5000 0.5000  2 Cl 2.44
3 Ga 0.5000 0.0000 0.5000  2 Cl 2.44
4 Bi 0.5000 0.5000 0.0000  2 Cl 2.66
5 Cl 0.5000 0.5000 0.5000  4 Ga 2.44, 2 Bi 2.66

(2)
Na2Sm3ErTe6: relaxed, PBE.

Calculated values
Magnetization = 0.000 μB/atom
Energy relative to the elements, uncorrected = -1.329 eV/atom
Density of states at the Fermi level = 0.32 states/eV/atom

a b c (Å): 7.6771 7.6771 7.7540
angles (deg): 99.47 99.47 119.95
Last column: nearest neighbours and their distance in Å.
Sites, in units of the cell vectors:
1 Na 0.1652 0.8348 0.0000  6 Te 3.14-3.16
2 Na 0.8348 0.1652 0.0000  6 Te 3.14-3.16
3 Sm 0.0000 0.0000 0.5000  6 Te 3.15-3.19
4 Sm 0.3294 0.6706 0.5000  6 Te 3.15-3.17
5 Sm 0.6706 0.3294 0.5000  6 Te 3.15-3.17
6 Er 0.5000 0.5000 0.0000  6 Te 3.09-3.10
7 Te 0.0914 0.4186 0.7552  1 Er 3.09, 2 Na 3.14-3.16, 3 Sm 3.15-3.17
8 Te 0.2577 0.2577 0.2503  1 Er 3.10, 2 Na 3.16, 3 Sm 3.16-3.19
9 Te 0.4186 0.0914 0.7552  1 Er 3.09, 2 Na 3.14-3.16, 3 Sm 3.15-3.17
10 Te 0.5814 0.9086 0.2448  1 Er 3.09, 2 Na 3.14-3.16, 3 Sm 3.15-3.17
11 Te 0.7423 0.7423 0.7497  1 Er 3.10, 2 Na 3.16, 3 Sm 3.16-3.19
12 Te 0.9086 0.5814 0.2448  1 Er 3.09, 2 Na 3.14-3.16, 3 Sm 3.15-3.17

(3)
Mg2CdPd: relaxed, PBE.

Calculated values
Formation enthalpy at 0 K = -0.4009 eV per atom
Magnetization = 0.000 μB/atom
Density of states at the Fermi level = 0.24 states/eV/atom

a b c (Å): 4.4419 4.4419 3.7237
angles (deg): 90.00 90.00 90.00
Last column: nearest neighbours and their distance in Å.
Sites, in units of the cell vectors:
1 Mg 0.0000 0.5000 0.0000  4 Cd 2.90, 4 Pd 2.90, 4 Mg 3.14
2 Mg 0.5000 0.0000 0.0000  4 Cd 2.90, 4 Pd 2.90, 4 Mg 3.14
3 Cd 0.0000 0.0000 0.5000  8 Mg 2.90, 4 Pd 3.14
4 Pd 0.5000 0.5000 0.5000  8 Mg 2.90, 4 Cd 3.14

- Look up the magnetization of the second one.
  0.000 μB/atom

- Which value of magnetization does entry 3 give?
  0.000 μB/atom